Entry from Alexandria via LeMat-Bulk: a relaxed structure of LaCe3H (GGA-PBE).

Computed properties:
- density of states at the Fermi level (states/eV per atom) = 2.035
- DFT total energy (eV for the cell shown) = -26.5

abc: 4.9146 4.9146 4.9146
angles: 90.00 90.00 90.00
Space group Pm-3m (No. 221)
Inequivalent atoms, fractional coordinates:
1 La 0.0000 0.0000 0.0000
2 Ce 0.0000 0.5000 0.5000
3 H 0.5000 0.5000 0.5000

Entry from Alexandria via LeMat-Bulk: a relaxed structure of LaCeH4 (GGA-PBE).

Computed properties:
- density of states at the Fermi level (states/eV per atom) = 1.380
- DFT total energy (eV for the cell shown) = -111.1

abc: 5.5503 5.5503 11.0633
angles: 90.00 90.00 90.00
Space group I4_1/amd (No. 141, origin choice 2)
Inequivalent atoms, fractional coordinates:
1 La 0.0000 0.2500 0.3750
2 Ce 0.0000 0.2500 0.8750
3 H 0.2403 0.0000 0.0000

Entry from Alexandria via LeMat-Bulk: a relaxed structure of La3CeH8 (GGA-PBE).

Computed properties:
- density of states at the Fermi level (states/eV per atom) = 0.877
- DFT total energy (eV for the cell shown) = -55.0

abc: 5.5988 5.5988 5.5988
angles: 90.00 90.00 90.00
Space group Pm-3m (No. 221)
Inequivalent atoms, fractional coordinates:
1 La 0.0000 0.0000 0.5000
2 Ce 0.5000 0.5000 0.5000
3 H 0.2544 0.2544 0.2544

Entry from Alexandria via LeMat-Bulk: a relaxed structure of La2CeH4 (GGA-PBE).

Computed properties:
- density of states at the Fermi level (states/eV per atom) = 1.111
- DFT total energy (eV for the cell shown) = -61.8

abc: 4.1842 4.1842 13.5719
angles: 90.00 90.00 90.00
Space group I4/mmm (No. 139)
Inequivalent atoms, fractional coordinates:
1 La 0.0000 0.0000 0.1562
2 Ce 0.0000 0.0000 0.5000
3 H 0.0000 0.0000 0.3303
4 H 0.0000 0.5000 0.0000

Entry from Alexandria via LeMat-Bulk: a relaxed structure of LaCeH2 (GGA-PBE).

Computed properties:
- density of states at the Fermi level (states/eV per atom) = 1.412
- ΔE to the lowest computed polymorph (meV/atom) = 106
- DFT total energy (eV for the cell shown) = -56.0

abc: 3.5250 3.5250 18.9239
angles: 90.00 90.00 120.00
Space group R3m (No. 160, hexagonal axes)
Inequivalent atoms, fractional coordinates:
1 La 0.0000 0.0000 0.0000
2 Ce 0.0000 0.0000 0.1721
3 H 0.0000 0.0000 0.5819
4 H 0.0000 0.0000 0.7648

Entry from Alexandria via LeMat-Bulk: a relaxed structure of La3CeH (GGA-PBE).

Computed properties:
- density of states at the Fermi level (states/eV per atom) = 1.791
- DFT total energy (eV for the cell shown) = -24.7

abc: 5.1862 5.1862 5.1862
angles: 90.00 90.00 90.00
Space group Pm-3m (No. 221)
Inequivalent atoms, fractional coordinates:
1 La 0.0000 0.0000 0.5000
2 Ce 0.5000 0.5000 0.5000
3 H 0.0000 0.0000 0.0000

Entry from Alexandria via LeMat-Bulk: a relaxed structure of LaCe3H8 (GGA-PBE).

Computed properties:
- density of states at the Fermi level (states/eV per atom) = 1.807
- DFT total energy (eV for the cell shown) = -56.2

abc: 5.4977 5.4977 5.4977
angles: 90.00 90.00 90.00
Space group Pm-3m (No. 221)
Inequivalent atoms, fractional coordinates:
1 La 0.0000 0.0000 0.0000
2 Ce 0.0000 0.5000 0.5000
3 H 0.2549 0.2549 0.2549

Entry from Alexandria via LeMat-Bulk: a relaxed structure of La2Ce4H2Pb3 (GGA-PBE).

Computed properties:
- density of states at the Fermi level (states/eV per atom) = 2.204
- DFT total energy (eV for the cell shown) = -111.6

abc: 4.7881 4.7881 26.7713
angles: 90.00 90.00 90.00
Space group I4/mmm (No. 139)
Inequivalent atoms, fractional coordinates:
1 La 0.0000 0.0000 0.2001
2 Ce 0.0000 0.5000 0.0831
3 H 0.0000 0.0000 0.1049
4 Pb 0.0000 0.0000 0.3266
5 Pb 0.0000 0.0000 0.5000

Entry from Alexandria via LeMat-Bulk: a relaxed structure of LaCeSiH (GGA-PBE).

Computed properties:
- density of states at the Fermi level (states/eV per atom) = 0.548
- DFT total energy (eV for the cell shown) = -44.1

abc: 4.2562 4.2562 9.1334
angles: 90.00 90.00 90.00
Space group P4/nmm (No. 129, origin choice 2)
Inequivalent atoms, fractional coordinates:
1 La 0.2500 0.2500 0.1313
2 Ce 0.2500 0.7500 0.5000
3 Si 0.2500 0.2500 0.7357
4 H 0.2500 0.7500 0.0000

Entry from Alexandria via LeMat-Bulk: a relaxed structure of La2Ce4Sn3H2 (GGA-PBE).

Computed properties:
- density of states at the Fermi level (states/eV per atom) = 2.264
- DFT total energy (eV for the cell shown) = -115.9

abc: 4.7542 4.7542 26.2961
angles: 90.00 90.00 90.00
Space group I4/mmm (No. 139)
Inequivalent atoms, fractional coordinates:
1 La 0.0000 0.0000 0.2002
2 Ce 0.0000 0.5000 0.0822
3 Sn 0.0000 0.0000 0.3281
4 Sn 0.0000 0.0000 0.5000
5 H 0.0000 0.0000 0.1041

Entry from Alexandria via LeMat-Bulk: a relaxed structure of LiCeH (GGA-PBE).

Computed properties:
- density of states at the Fermi level (states/eV per atom) = 1.027
- ΔE to the lowest computed polymorph (meV/atom) = 16
- DFT total energy (eV for the cell shown) = -11.5

abc: 3.0639 3.0639 5.9257
angles: 90.00 90.00 120.00
Space group P3m1 (No. 156)
Inequivalent atoms, fractional coordinates:
1 Li 0.0000 0.0000 0.0000
2 Ce 0.6667 0.3333 0.5216
3 H 0.3333 0.6667 0.8047

Entry from Alexandria via LeMat-Bulk: a relaxed structure of LiCeH4 (GGA-PBE).

Computed properties:
- density of states at the Fermi level (states/eV per atom) = 0.926
- ΔE to the lowest computed polymorph (meV/atom) = 145
- DFT total energy (eV for the cell shown) = -23.1

abc: 3.6786 3.6786 5.0593
angles: 90.00 90.00 90.00
Space group P4/mmm (No. 123)
Inequivalent atoms, fractional coordinates:
1 Li 0.0000 0.0000 0.0000
2 Ce 0.5000 0.5000 0.5000
3 H 0.0000 0.5000 0.2385

Entry from Alexandria via LeMat-Bulk: a relaxed structure of LiCeH (GGA-PBE).

Computed properties:
- density of states at the Fermi level (states/eV per atom) = 1.154
- ΔE to the lowest computed polymorph (meV/atom) = 0
- DFT total energy (eV for the cell shown) = -23.2

abc: 3.1322 3.5357 10.4274
angles: 91.15 90.42 116.23
Space group P1 (No. 1)
Inequivalent atoms, fractional coordinates:
1 Li 0.0000 0.0000 0.0000
2 Li 0.2835 0.5734 0.7765
3 Ce 0.5333 0.0872 0.5158
4 Ce 0.7004 0.4357 0.2836
5 H 0.8577 0.7280 0.6568
6 H 0.9992 0.0393 0.1711

Entry from Alexandria via LeMat-Bulk: a relaxed structure of Li6CeH12 (GGA-PBE).

Computed properties:
- density of states at the Fermi level (states/eV per atom) = 0.378
- DFT total energy (eV for the cell shown) = -118.0

abc: 6.7484 6.7484 6.7484
angles: 90.00 90.00 90.00
Space group Im-3 (No. 204)
Inequivalent atoms, fractional coordinates:
1 Li 0.0000 0.3321 0.5000
2 Ce 0.0000 0.0000 0.0000
3 H 0.0000 0.1392 0.3104

Entry from Alexandria via LeMat-Bulk: a relaxed structure of LiCeH4 (GGA-PBE).

Computed properties:
- density of states at the Fermi level (states/eV per atom) = 1.163
- ΔE to the lowest computed polymorph (meV/atom) = 0
- DFT total energy (eV for the cell shown) = -47.8

abc: 3.5854 3.5854 8.8651
angles: 90.00 90.00 90.00
Space group P4/nmm (No. 129, origin choice 2)
Inequivalent atoms, fractional coordinates:
1 Li 0.2500 0.2500 0.0905
2 Ce 0.2500 0.2500 0.6719
3 H 0.2500 0.2500 0.3266
4 H 0.2500 0.7500 0.1519
5 H 0.2500 0.7500 0.5000

Entry from Alexandria via LeMat-Bulk: a relaxed structure of LiCe3H3 (GGA-PBE).

Computed properties:
- density of states at the Fermi level (states/eV per atom) = 2.349
- DFT total energy (eV for the cell shown) = -61.1

abc: 6.5106 6.5106 6.5106
angles: 90.00 90.00 90.00
Space group Pm-3n (No. 223)
Inequivalent atoms, fractional coordinates:
1 Li 0.0000 0.0000 0.0000
2 Ce 0.0000 0.2500 0.5000
3 H 0.0000 0.5000 0.2500

Entry from Alexandria via LeMat-Bulk: a relaxed structure of LiCe2H6 (GGA-PBE).

Computed properties:
- density of states at the Fermi level (states/eV per atom) = 1.264
- DFT total energy (eV for the cell shown) = -74.6

abc: 3.7582 5.1224 11.3524
angles: 90.00 90.00 90.00
Space group Immm (No. 71)
Inequivalent atoms, fractional coordinates:
1 Li 0.0000 0.0000 0.0000
2 Ce 0.0000 0.0000 0.3406
3 H 0.0000 0.2435 0.1678
4 H 0.0000 0.2607 0.5000

Entry from Alexandria via LeMat-Bulk: a relaxed structure of LiCeNiH6 (GGA-PBE).

Computed properties:
- density of states at the Fermi level (states/eV per atom) = 0.692
- DFT total energy (eV for the cell shown) = -36.5

abc: 4.4068 4.4068 4.3447
angles: 90.00 90.00 120.00
Space group P-6m2 (No. 187)
Inequivalent atoms, fractional coordinates:
1 Li 0.0000 0.0000 0.0000
2 Ce 0.6667 0.3333 0.5000
3 Ni 0.3333 0.6667 0.0000
4 H 0.1791 0.3582 0.2570

Entry from Alexandria via LeMat-Bulk: a relaxed structure of LiCeNi2H8 (GGA-PBE).

Computed properties:
- density of states at the Fermi level (states/eV per atom) = 0.585
- DFT total energy (eV for the cell shown) = -148.3

abc: 4.3505 4.3505 18.0330
angles: 90.00 90.00 120.00
Space group R-3 (No. 148, hexagonal axes)
Inequivalent atoms, fractional coordinates:
1 Li 0.0000 0.0000 0.0000
2 Ce 0.0000 0.0000 0.5000
3 Ni 0.0000 0.0000 0.3321
4 H 0.0000 0.0000 0.1533
5 H 0.0051 0.3904 0.0512

Entry from Alexandria via LeMat-Bulk: a relaxed structure of LiCeH6Os (GGA-PBE).

Computed properties:
- density of states at the Fermi level (states/eV per atom) = 0.608
- DFT total energy (eV for the cell shown) = -42.1

abc: 4.6091 4.6091 4.3868
angles: 90.00 90.00 120.00
Space group P-6m2 (No. 187)
Inequivalent atoms, fractional coordinates:
1 Li 0.0000 0.0000 0.0000
2 Ce 0.6667 0.3333 0.5000
3 H 0.1788 0.3577 0.2682
4 Os 0.3333 0.6667 0.0000

Entry from Alexandria via LeMat-Bulk: a relaxed structure of LiCe2H6Os (GGA-PBE).

Computed properties:
- density of states at the Fermi level (states/eV per atom) = 1.359
- DFT total energy (eV for the cell shown) = -48.2

abc: 5.0481 5.0481 5.2485
angles: 90.00 90.00 120.00
Space group P-3m1 (No. 164)
Inequivalent atoms, fractional coordinates:
1 Li 0.0000 0.0000 0.0000
2 Ce 0.3333 0.6667 0.2728
3 H 0.1608 0.3217 0.7061
4 Os 0.0000 0.0000 0.5000

Entry from Alexandria via LeMat-Bulk: a relaxed structure of LiCePH (GGA-PBE).

Computed properties:
- density of states at the Fermi level (states/eV per atom) = 1.977
- DFT total energy (eV for the cell shown) = -77.1

abc: 6.4533 6.4533 6.4533
angles: 90.00 90.00 90.00
Space group F-43m (No. 216)
Inequivalent atoms, fractional coordinates:
1 Li 0.0000 0.0000 0.0000
2 Ce 0.0000 0.0000 0.5000
3 P 0.2500 0.2500 0.7500
4 H 0.2500 0.2500 0.2500

Entry from Alexandria via LeMat-Bulk: a relaxed structure of LiCe2HPb2 (GGA-PBE).

Computed properties:
- density of states at the Fermi level (states/eV per atom) = 1.382
- DFT total energy (eV for the cell shown) = -106.0

abc: 7.1164 12.7729 6.2824
angles: 90.00 90.00 90.00
Space group Ibam (No. 72)
Inequivalent atoms, fractional coordinates:
1 Li 0.0000 0.0000 0.2500
2 Ce 0.1614 0.3880 0.0000
3 H 0.0000 0.5000 0.2500
4 Pb 0.1966 0.1387 0.0000